1.
This record from Alexandria via LeMat-Bulk describes a relaxed LaSm2Dy8 crystal. The functional is PBE.

- DOS(E_F): 16.55 states/eV/f.u.
- Space-group type: No. 12
- Offset from the most stable computed form: 52 meV/atom
- Crystal system: monoclinic
- Energy of formation: 169 meV per atom
- Spin magnetization: 0.000 μB per formula unit

```
data_LaSm2Dy8
_chemical_formula_sum 'La1 Sm2 Dy8'
_symmetry_space_group_name_H-M 'P 1'
_symmetry_Int_Tables_number 1
_symmetry_space_group_name_Hall 'P 1'
_cell_length_a 9.1484
_cell_length_b 9.1484
_cell_length_c 6.6723
_cell_angle_alpha 103.54
_cell_angle_beta 103.54
_cell_angle_gamma 42.21
loop_
_atom_site_label
_atom_site_type_symbol
_atom_site_fract_x
_atom_site_fract_y
_atom_site_fract_z
_atom_site_occupancy
La1 La 0.0000 0.0000 0.0000 1
Sm1 Sm 0.2563 0.2563 0.9069 1
Sm2 Sm 0.7437 0.7437 0.0931 1
Dy1 Dy 0.1626 0.6445 0.3257 1
Dy2 Dy 0.2080 0.2080 0.3619 1
Dy3 Dy 0.3555 0.8374 0.6743 1
Dy4 Dy 0.4289 0.4289 0.7903 1
Dy5 Dy 0.5711 0.5711 0.2097 1
Dy6 Dy 0.6445 0.1626 0.3257 1
Dy7 Dy 0.7920 0.7920 0.6381 1
Dy8 Dy 0.8374 0.3555 0.6743 1
```

***

2.
This record from Alexandria via LeMat-Bulk describes a relaxed CrN crystal. The functional is PBE.

- DOS(E_F): 1.81 states/eV/f.u.
- Space-group type: No. 70
- Formation energy without anion corrections: -32.5 kJ per mole of atoms
- Crystal system: orthorhombic
- Spin magnetization: 0.000 μB per formula unit

```
data_CrN
_chemical_formula_sum 'Cr4 N4'
_symmetry_space_group_name_H-M 'P 1'
_symmetry_Int_Tables_number 1
_symmetry_space_group_name_Hall 'P 1'
_cell_length_a 5.3723
_cell_length_b 5.1557
_cell_length_c 4.9327
_cell_angle_alpha 64.31
_cell_angle_beta 59.86
_cell_angle_gamma 55.83
loop_
_atom_site_label
_atom_site_type_symbol
_atom_site_fract_x
_atom_site_fract_y
_atom_site_fract_z
_atom_site_occupancy
Cr1 Cr 0.0274 0.0274 0.7226 1
Cr2 Cr 0.2774 0.2774 0.9726 1
Cr3 Cr 0.7226 0.7226 0.0274 1
Cr4 Cr 0.9726 0.9726 0.2774 1
N1 N 0.0818 0.6682 0.0818 1
N2 N 0.3318 0.9182 0.3318 1
N3 N 0.6682 0.0818 0.6682 1
N4 N 0.9182 0.3318 0.9182 1
```

***

3.
This record from Alexandria via LeMat-Bulk describes a relaxed CsNaLa2Se crystal. The functional is PBE.

- DOS(E_F): 7.81 states/eV/f.u.
- Space-group type: No. 123
- Formation energy without anion corrections: 36.0 kJ per mole of atoms
- Crystal system: tetragonal
- Spin magnetization: 0.040 μB per formula unit

```
data_CsNaLa2Se
_chemical_formula_sum 'Cs1 Na1 La2 Se1'
_symmetry_space_group_name_H-M 'P 1'
_symmetry_Int_Tables_number 1
_symmetry_space_group_name_Hall 'P 1'
_cell_length_a 6.0526
_cell_length_b 6.0526
_cell_length_c 5.3699
_cell_angle_alpha 90.00
_cell_angle_beta 90.00
_cell_angle_gamma 90.00
loop_
_atom_site_label
_atom_site_type_symbol
_atom_site_fract_x
_atom_site_fract_y
_atom_site_fract_z
_atom_site_occupancy
Cs1 Cs 0.0000 0.0000 0.0000 1
Na1 Na 0.5000 0.5000 0.5000 1
La1 La 0.0000 0.5000 0.5000 1
La2 La 0.5000 0.0000 0.5000 1
Se1 Se 0.5000 0.5000 0.0000 1
```

***

4.
This record from Alexandria via LeMat-Bulk describes a relaxed TlCrRe crystal. The functional is PBE.

- DOS(E_F): 2.07 states/eV/f.u.
- Space-group type: No. 156
- Offset from the most stable computed form: 83 meV/atom
- Crystal system: trigonal
- Energy of formation: 682 meV per atom
- Spin magnetization: 0.000 μB per formula unit

```
data_TlCrRe
_chemical_formula_sum 'Tl1 Cr1 Re1'
_symmetry_space_group_name_H-M 'P 1'
_symmetry_Int_Tables_number 1
_symmetry_space_group_name_Hall 'P 1'
_cell_length_a 3.0741
_cell_length_b 3.0741
_cell_length_c 6.6447
_cell_angle_alpha 90.00
_cell_angle_beta 90.00
_cell_angle_gamma 120.00
loop_
_atom_site_label
_atom_site_type_symbol
_atom_site_fract_x
_atom_site_fract_y
_atom_site_fract_z
_atom_site_occupancy
Tl1 Tl 0.0000 0.0000 0.0000 1
Cr1 Cr 0.6667 0.3333 0.3724 1
Re1 Re 0.3333 0.6667 0.6030 1
```

***

5.
This record from Alexandria via LeMat-Bulk describes a relaxed Ta3InRu crystal. The functional is PBE.

- DOS(E_F): 4.46 states/eV/f.u.
- Space-group type: No. 221
- Offset from the most stable computed form: 0 meV/atom
- Crystal system: cubic
- Energy of formation: 917 meV per atom
- Spin magnetization: 0.000 μB per formula unit

```
data_Ta3InRu
_chemical_formula_sum 'Ta3 In1 Ru1'
_symmetry_space_group_name_H-M 'P 1'
_symmetry_Int_Tables_number 1
_symmetry_space_group_name_Hall 'P 1'
_cell_length_a 4.8137
_cell_length_b 4.8137
_cell_length_c 4.8137
_cell_angle_alpha 90.00
_cell_angle_beta 90.00
_cell_angle_gamma 90.00
loop_
_atom_site_label
_atom_site_type_symbol
_atom_site_fract_x
_atom_site_fract_y
_atom_site_fract_z
_atom_site_occupancy
Ta1 Ta 0.0000 0.0000 0.5000 1
Ta2 Ta 0.0000 0.5000 0.0000 1
Ta3 Ta 0.5000 0.0000 0.0000 1
In1 In 0.5000 0.5000 0.5000 1
Ru1 Ru 0.0000 0.0000 0.0000 1
```

***

6.
This record from Alexandria via LeMat-Bulk describes a relaxed Cd2AsIr crystal. The functional is PBE.

- DOS(E_F): 2.42 states/eV/f.u.
- Space-group type: No. 216
- Crystal system: cubic
- Energy of formation: 317 meV per atom
- Spin magnetization: 0.000 μB per formula unit

```
data_Cd2AsIr
_chemical_formula_sum 'Cd2 As1 Ir1'
_symmetry_space_group_name_H-M 'P 1'
_symmetry_Int_Tables_number 1
_symmetry_space_group_name_Hall 'P 1'
_cell_length_a 4.7090
_cell_length_b 4.7090
_cell_length_c 4.7090
_cell_angle_alpha 60.00
_cell_angle_beta 60.00
_cell_angle_gamma 60.00
loop_
_atom_site_label
_atom_site_type_symbol
_atom_site_fract_x
_atom_site_fract_y
_atom_site_fract_z
_atom_site_occupancy
Cd1 Cd 0.0000 0.0000 0.0000 1
Cd2 Cd 0.2500 0.2500 0.2500 1
As1 As 0.7500 0.7500 0.7500 1
Ir1 Ir 0.5000 0.5000 0.5000 1
```

***

7.
This record from Alexandria via LeMat-Bulk describes a relaxed Na2ICl crystal. The functional is PBE.

- DOS(E_F): 0.00 states/eV/f.u.
- Space-group type: No. 166
- Formation energy without anion corrections: -144.8 kJ per mole of atoms
- Crystal system: trigonal
- Spin magnetization: 0.000 μB per formula unit

```
data_Na2ICl
_chemical_formula_sum 'Na2 I1 Cl1'
_symmetry_space_group_name_H-M 'P 1'
_symmetry_Int_Tables_number 1
_symmetry_space_group_name_Hall 'P 1'
_cell_length_a 7.5108
_cell_length_b 7.5108
_cell_length_c 7.5108
_cell_angle_alpha 33.48
_cell_angle_beta 33.48
_cell_angle_gamma 33.48
loop_
_atom_site_label
_atom_site_type_symbol
_atom_site_fract_x
_atom_site_fract_y
_atom_site_fract_z
_atom_site_occupancy
Na1 Na 0.2399 0.2399 0.2399 1
Na2 Na 0.7601 0.7601 0.7601 1
I1 I 0.0000 0.0000 0.0000 1
Cl1 Cl 0.5000 0.5000 0.5000 1
```

***

8.
This record from Alexandria via LeMat-Bulk describes a relaxed La2MgZn crystal. The functional is PBE.

- DOS(E_F): 4.21 states/eV/f.u.
- Space-group type: No. 122
- Offset from the most stable computed form: 315 meV/atom
- Crystal system: tetragonal
- Energy of formation: 99 meV per atom
- Spin magnetization: 0.000 μB per formula unit

```
data_La2MgZn
_chemical_formula_sum 'La4 Mg2 Zn2'
_symmetry_space_group_name_H-M 'P 1'
_symmetry_Int_Tables_number 1
_symmetry_space_group_name_Hall 'P 1'
_cell_length_a 6.9768
_cell_length_b 6.9768
_cell_length_c 6.9768
_cell_angle_alpha 101.77
_cell_angle_beta 101.77
_cell_angle_gamma 126.30
loop_
_atom_site_label
_atom_site_type_symbol
_atom_site_fract_x
_atom_site_fract_y
_atom_site_fract_z
_atom_site_occupancy
La1 La 0.0796 0.6250 0.9546 1
La2 La 0.3750 0.3296 0.4546 1
La3 La 0.6704 0.1250 0.0454 1
La4 La 0.8750 0.9204 0.5454 1
Mg1 Mg 0.2500 0.7500 0.5000 1
Mg2 Mg 0.5000 0.5000 0.0000 1
Zn1 Zn 0.0000 0.0000 0.0000 1
Zn2 Zn 0.7500 0.2500 0.5000 1
```

***

9.
This record from Alexandria via LeMat-Bulk describes a relaxed BeMoPt crystal. The functional is PBE.

- DOS(E_F): 1.53 states/eV/f.u.
- Space-group type: No. 129
- Offset from the most stable computed form: 55 meV/atom
- Crystal system: tetragonal
- Energy of formation: -352 meV per atom
- Spin magnetization: 0.000 μB per formula unit

```
data_BeMoPt
_chemical_formula_sum 'Be2 Mo2 Pt2'
_symmetry_space_group_name_H-M 'P 1'
_symmetry_Int_Tables_number 1
_symmetry_space_group_name_Hall 'P 1'
_cell_length_a 2.7563
_cell_length_b 2.7563
_cell_length_c 10.2879
_cell_angle_alpha 90.00
_cell_angle_beta 90.00
_cell_angle_gamma 90.00
loop_
_atom_site_label
_atom_site_type_symbol
_atom_site_fract_x
_atom_site_fract_y
_atom_site_fract_z
_atom_site_occupancy
Be1 Be 0.2500 0.2500 0.0567 1
Be2 Be 0.7500 0.7500 0.9433 1
Mo1 Mo 0.2500 0.2500 0.3916 1
Mo2 Mo 0.7500 0.7500 0.6084 1
Pt1 Pt 0.2500 0.2500 0.8131 1
Pt2 Pt 0.7500 0.7500 0.1869 1
```

***

10.
This record from Alexandria via LeMat-Bulk describes a relaxed TlAsSe2 crystal. The functional is PBE.

- DOS(E_F): 3.74 states/eV/f.u.
- Space-group type: No. 216
- Formation energy without anion corrections: 39.9 kJ per mole of atoms
- Crystal system: cubic
- Spin magnetization: 0.000 μB per formula unit

```
data_TlAsSe2
_chemical_formula_sum 'Tl1 As1 Se2'
_symmetry_space_group_name_H-M 'P 1'
_symmetry_Int_Tables_number 1
_symmetry_space_group_name_Hall 'P 1'
_cell_length_a 5.0527
_cell_length_b 5.0527
_cell_length_c 5.0527
_cell_angle_alpha 60.00
_cell_angle_beta 60.00
_cell_angle_gamma 60.00
loop_
_atom_site_label
_atom_site_type_symbol
_atom_site_fract_x
_atom_site_fract_y
_atom_site_fract_z
_atom_site_occupancy
Tl1 Tl 0.0000 0.0000 0.0000 1
As1 As 0.7500 0.7500 0.7500 1
Se1 Se 0.2500 0.2500 0.2500 1
Se2 Se 0.5000 0.5000 0.5000 1
```